A) The following is a PBE-GGA calculation of VAsBr2Cl after structural relaxation, from the Alexandria database.

Cell and atoms, written as CIF:
```
data_VAsBr2Cl
_chemical_formula_sum 'V1 As1 Br2 Cl1'
_space_group_name_H-M_alt 'P 4/m m m'
_space_group_IT_number 123
_space_group_name_Hall '-P 4 2'
_cell_length_a 5.087
_cell_length_b 5.087
_cell_length_c 5.329
_cell_angle_alpha 90.00
_cell_angle_beta 90.00
_cell_angle_gamma 90.00
loop_
_atom_site_label
_atom_site_type_symbol
_atom_site_fract_x
_atom_site_fract_y
_atom_site_fract_z
V1 V 0.000 0.000 0.000
As1 As 0.500 0.500 0.000
Br1 Br 0.000 0.500 0.500
Cl1 Cl 0.500 0.500 0.500
```

B) The following is a PBE-GGA calculation of VAsBr2Cl after structural relaxation, from the Alexandria database.

Cell and atoms, written as CIF:
```
data_VAsBr2Cl
_chemical_formula_sum 'V1 As1 Br2 Cl1'
_space_group_name_H-M_alt 'P 4/m m m'
_space_group_IT_number 123
_space_group_name_Hall '-P 4 2'
_cell_length_a 4.871
_cell_length_b 4.871
_cell_length_c 5.062
_cell_angle_alpha 90.00
_cell_angle_beta 90.00
_cell_angle_gamma 90.00
loop_
_atom_site_label
_atom_site_type_symbol
_atom_site_fract_x
_atom_site_fract_y
_atom_site_fract_z
V1 V 0.000 0.000 0.000
As1 As 0.000 0.000 0.500
Br1 Br 0.000 0.500 0.000
Cl1 Cl 0.500 0.500 0.500
```

Of all the structures shown, which is most stable? B), and A) is the least stable.